Entry 1:
Material: PrNdTe2
Method: DFT, PBE
State: relaxed

a = 7.8272 Å, b = 4.5418 Å, c = 7.7829 Å
α = 90.00°, β = 109.80°, γ = 90.00°
Last column: nearest neighbours and their distance in Å.
Space group C2/m (No. 12)
Asymmetric unit:
Pr 0.0000 0.0000 0.0000  6 Te 3.20
Nd 0.0000 0.5000 0.5000  6 Te 3.18
Te 0.2492 0.0000 0.7474  3 Nd 3.18, 3 Pr 3.20

Properties
N(E_F)	2.3	states/eV/f.u.
raw formation energy	-1432	meV/atom
distance to the lowest polymorph of the same formula	1	meV per atom


Entry 2:
Material: Pr3NdTe4
Method: DFT, PBE
State: relaxed

a = 4.4412 Å, b = 4.4412 Å, c = 30.6731 Å
α = 90.00°, β = 90.00°, γ = 120.00°
Last column: nearest neighbours and their distance in Å.
Space group P6_3/mmc (No. 194)
Asymmetric unit:
Pr 0.0000 0.0000 0.0000  6 Te 3.20
Pr 0.3333 0.6667 0.1243  6 Te 3.19-3.21
Nd 0.3333 0.6667 0.7500  6 Te 3.21
Te 0.0000 0.0000 0.1872  3 Nd 3.21, 3 Pr 3.21
Te 0.3333 0.6667 0.5625  6 Pr 3.19-3.20

Properties
N(E_F)	5.3	states/eV/f.u.
raw formation energy	-1423	meV/atom
distance to the lowest polymorph of the same formula	12	meV per atom


raw formation energy of number 1 (PrNdTe2)?
-1432 meV/atom


The highest distance to the lowest polymorph of the same formula belongs to which entry?
Pr3NdTe4


What did the second record say?
Material: Pr3NdTe4
Method: DFT, PBE
State: relaxed

a = 4.4412 Å, b = 4.4412 Å, c = 30.6731 Å
α = 90.00°, β = 90.00°, γ = 120.00°
Last column: nearest neighbours and their distance in Å.
Space group P6_3/mmc (No. 194)
Asymmetric unit:
Pr 0.0000 0.0000 0.0000  6 Te 3.20
Pr 0.3333 0.6667 0.1243  6 Te 3.19-3.21
Nd 0.3333 0.6667 0.7500  6 Te 3.21
Te 0.0000 0.0000 0.1872  3 Nd 3.21, 3 Pr 3.21
Te 0.3333 0.6667 0.5625  6 Pr 3.19-3.20

Properties
N(E_F)	5.3	states/eV/f.u.
raw formation energy	-1423	meV/atom
distance to the lowest polymorph of the same formula	12	meV per atom


Which of these has the highest N(E_F)?
Pr3NdTe4